[1]
Compound: Cs2MnCoS4
Source: the Alexandria database
Functional: PBE
Structure: optimized geometry

a b c (Å): 14.3503 12.7293 7.6152
angles (deg): 85.83 62.21 31.96
Last column: nearest neighbours and their distance in Å.
Fractional positions:
Cs: 0.0509 0.0509 0.6991  8 S 3.57-3.85
Cs: 0.3009 0.3009 0.9491  8 S 3.57-3.85
Cs: 0.6991 0.6991 0.0509  8 S 3.57-3.85
Cs: 0.9491 0.9491 0.3009  8 S 3.57-3.85
Mn: 0.1250 0.1250 0.1250  4 S 2.18
Mn: 0.8750 0.8750 0.8750  4 S 2.18
Co: 0.3750 0.3750 0.3750  4 S 2.21
Co: 0.6250 0.6250 0.6250  4 S 2.21
S: 0.0153 0.3330 0.4093  1 Mn 2.18, 1 Co 2.21
S: 0.2576 0.5907 0.6670  1 Mn 2.18, 1 Co 2.21
S: 0.3330 0.0153 0.7424  1 Mn 2.18, 1 Co 2.21
S: 0.4093 0.7424 0.0153  1 Mn 2.18, 1 Co 2.21
S: 0.5907 0.2576 0.9847  1 Mn 2.18, 1 Co 2.21
S: 0.6670 0.9847 0.2576  1 Mn 2.18, 1 Co 2.21
S: 0.7424 0.4093 0.3330  1 Mn 2.18, 1 Co 2.21
S: 0.9847 0.6670 0.5907  1 Mn 2.18, 1 Co 2.21

Properties
Symmetry: Fddd (70)

[2]
Compound: CsCo3Mo
Source: the Alexandria database
Functional: PBE
Structure: optimized geometry

a b c (Å): 4.5353 4.5353 4.5353
angles (deg): 90.00 90.00 90.00
Last column: nearest neighbours and their distance in Å.
Fractional positions:
Cs: 0.0000 0.0000 0.0000  6 Co 2.27
Co: 0.0000 0.0000 0.5000  2 Cs 2.27
Co: 0.0000 0.5000 0.0000  2 Cs 2.27
Co: 0.5000 0.0000 0.0000  2 Cs 2.27
Mo: 0.5000 0.5000 0.5000  12 Co 3.21

Properties
Calculated formation energy (eV per atom): 2.8888
Excess energy over the best structure of this formula in the dataset (meV/atom): 1382.3
Symmetry: Pm-3m (221)

[3]
Compound: CsCo3Mo
Source: the Alexandria database
Functional: PBE
Structure: optimized geometry

a b c (Å): 4.6930 4.6930 4.6930
angles (deg): 90.00 90.00 90.00
Last column: nearest neighbours and their distance in Å.
Fractional positions:
Cs: 0.0000 0.0000 0.0000  12 Co 3.32
Co: 0.0000 0.5000 0.5000  2 Mo 2.35
Co: 0.5000 0.0000 0.5000  2 Mo 2.35
Co: 0.5000 0.5000 0.0000  2 Mo 2.35
Mo: 0.5000 0.5000 0.5000  6 Co 2.35

Properties
Calculated formation energy (eV per atom): 1.5065
Excess energy over the best structure of this formula in the dataset (meV/atom): 0.0
Symmetry: Pm-3m (221)

[4]
Compound: Cs2CoMo
Source: the Alexandria database
Functional: PBE
Structure: optimized geometry

a b c (Å): 8.4721 8.4721 8.4721
angles (deg): 90.00 90.00 90.00
Last column: nearest neighbours and their distance in Å.
Fractional positions:
Cs: 0.2500 0.2500 0.2500  4 Mo 3.67, 4 Co 3.67
Cs: 0.2500 0.2500 0.7500  4 Co 3.67, 4 Mo 3.67
Cs: 0.2500 0.7500 0.2500  4 Co 3.67, 4 Mo 3.67
Cs: 0.2500 0.7500 0.7500  4 Mo 3.67, 4 Co 3.67
Cs: 0.7500 0.2500 0.2500  4 Co 3.67, 4 Mo 3.67
Cs: 0.7500 0.2500 0.7500  4 Mo 3.67, 4 Co 3.67
Cs: 0.7500 0.7500 0.2500  4 Mo 3.67, 4 Co 3.67
Cs: 0.7500 0.7500 0.7500  4 Co 3.67, 4 Mo 3.67
Co: 0.0000 0.0000 0.0000  8 Cs 3.67
Co: 0.0000 0.5000 0.5000  8 Cs 3.67
Co: 0.5000 0.0000 0.5000  8 Cs 3.67
Co: 0.5000 0.5000 0.0000  8 Cs 3.67
Mo: 0.0000 0.0000 0.5000  8 Cs 3.67
Mo: 0.0000 0.5000 0.0000  8 Cs 3.67
Mo: 0.5000 0.0000 0.0000  8 Cs 3.67
Mo: 0.5000 0.5000 0.5000  8 Cs 3.67

Properties
Calculated formation energy (eV per atom): 1.9781
Symmetry: Fm-3m (225)

Number 1: uncorrected energy -82.85 eV for the cell shown. Number 2: uncorrected energy -18.56 eV for the cell shown. Number 3: uncorrected energy -25.47 eV for the cell shown. Number 4: uncorrected energy -46.93 eV for the cell shown.